Entry 1:
Compound: BaTa2CuC
Source: the Alexandria database
Functional: PBE-GGA
Structure: relaxed

Raw total energy: -3.7533 eV per atom

The structure in CIF format:
```
data_BaTa2CuC
_chemical_formula_sum 'Ba1 Ta2 Cu1 C1'
_space_group_name_H-M_alt 'P 4/m m m'
_space_group_IT_number 123
_space_group_name_Hall '-P 4 2'
_cell_length_a 5.1632
_cell_length_b 5.1632
_cell_length_c 4.8351
_cell_angle_alpha 90.00
_cell_angle_beta 90.00
_cell_angle_gamma 90.00
loop_
_atom_site_label
_atom_site_type_symbol
_atom_site_fract_x
_atom_site_fract_y
_atom_site_fract_z
_atom_site_occupancy
Ba1 Ba 0.0000 0.0000 0.0000 1
Ta1 Ta 0.0000 0.5000 0.0000 1
Cu1 Cu 0.0000 0.0000 0.5000 1
C1 C 0.5000 0.5000 0.5000 1
```



Entry 2:
Compound: Ba2TlCuC
Source: the Alexandria database
Functional: PBE-GGA
Structure: relaxed

Raw total energy: -2.6962 eV per atom

The structure in CIF format:
```
data_Ba2TlCuC
_chemical_formula_sum 'Ba2 Tl1 Cu1 C1'
_space_group_name_H-M_alt 'P 4/m m m'
_space_group_IT_number 123
_space_group_name_Hall '-P 4 2'
_cell_length_a 6.5495
_cell_length_b 6.5495
_cell_length_c 4.8789
_cell_angle_alpha 90.00
_cell_angle_beta 90.00
_cell_angle_gamma 90.00
loop_
_atom_site_label
_atom_site_type_symbol
_atom_site_fract_x
_atom_site_fract_y
_atom_site_fract_z
_atom_site_occupancy
Ba1 Ba 0.0000 0.5000 0.0000 1
Tl1 Tl 0.0000 0.0000 0.0000 1
Cu1 Cu 0.0000 0.0000 0.5000 1
C1 C 0.5000 0.5000 0.5000 1
```



Entry 3:
Compound: BaYCuC2
Source: the Alexandria database
Functional: PBE-GGA
Structure: relaxed

Raw total energy: -4.2822 eV per atom

The structure in CIF format:
```
data_BaYCuC2
_chemical_formula_sum 'Ba1 Y1 Cu1 C2'
_space_group_name_H-M_alt 'P 4/m m m'
_space_group_IT_number 123
_space_group_name_Hall '-P 4 2'
_cell_length_a 4.4953
_cell_length_b 4.4953
_cell_length_c 7.1493
_cell_angle_alpha 90.00
_cell_angle_beta 90.00
_cell_angle_gamma 90.00
loop_
_atom_site_label
_atom_site_type_symbol
_atom_site_fract_x
_atom_site_fract_y
_atom_site_fract_z
_atom_site_occupancy
Ba1 Ba 0.0000 0.0000 0.0000 1
Y1 Y 0.0000 0.0000 0.5000 1
Cu1 Cu 0.5000 0.5000 0.0000 1
C1 C 0.0000 0.5000 0.5000 1
```



Entry 4:
Compound: BaZr2CuC
Source: the Alexandria database
Functional: PBE-GGA
Structure: relaxed

Raw total energy: -5.3329 eV per atom

The structure in CIF format:
```
data_BaZr2CuC
_chemical_formula_sum 'Ba1 Zr2 Cu1 C1'
_space_group_name_H-M_alt 'P 4/m m m'
_space_group_IT_number 123
_space_group_name_Hall '-P 4 2'
_cell_length_a 5.4010
_cell_length_b 5.4010
_cell_length_c 3.6115
_cell_angle_alpha 90.00
_cell_angle_beta 90.00
_cell_angle_gamma 90.00
loop_
_atom_site_label
_atom_site_type_symbol
_atom_site_fract_x
_atom_site_fract_y
_atom_site_fract_z
_atom_site_occupancy
Ba1 Ba 0.0000 0.0000 0.0000 1
Zr1 Zr 0.0000 0.5000 0.5000 1
Cu1 Cu 0.5000 0.5000 0.5000 1
C1 C 0.5000 0.5000 0.0000 1
```



Entry 5:
Compound: BaDy2C
Source: the Alexandria database
Functional: PBE-GGA
Structure: relaxed

Raw total energy: -5.1357 eV per atom

The structure in CIF format:
```
data_BaDy2C
_chemical_formula_sum 'Ba3 Dy6 C3'
_space_group_name_H-M_alt 'R -3 m'
_space_group_IT_number 166
_space_group_name_Hall '-R 3 2"'
_cell_length_a 3.6346
_cell_length_b 3.6346
_cell_length_c 30.7297
_cell_angle_alpha 90.00
_cell_angle_beta 90.00
_cell_angle_gamma 120.00
loop_
_atom_site_label
_atom_site_type_symbol
_atom_site_fract_x
_atom_site_fract_y
_atom_site_fract_z
_atom_site_occupancy
Ba1 Ba 0.0000 0.0000 0.0000 1
Dy1 Dy 0.0000 0.0000 0.1231 1
C1 C 0.0000 0.0000 0.5000 1
```



Entry 6:
Compound: BaEr2C2N6
Source: the Alexandria database
Functional: PBE-GGA
Structure: relaxed

Uncorrected formation energy: -6.75 eV per formula unit

The structure in CIF format:
```
data_BaEr2C2N6
_chemical_formula_sum 'Ba2 Er4 C4 N12'
_space_group_name_H-M_alt 'C 1 2/m 1'
_space_group_IT_number 12
_cell_length_a 10.0764
_cell_length_b 6.0840
_cell_length_c 6.0865
_cell_angle_alpha 90.00
_cell_angle_beta 115.37
_cell_angle_gamma 90.00
loop_
_space_group_symop_operation_xyz
'x,y,z'
'-x,-y,-z'
'-x,y,-z'
'x,-y,z'
'x+1/2,y+1/2,z'
'-x+1/2,-y+1/2,-z'
'-x+1/2,y+1/2,-z'
'x+1/2,-y+1/2,z'
loop_
_atom_site_label
_atom_site_type_symbol
_atom_site_fract_x
_atom_site_fract_y
_atom_site_fract_z
_atom_site_occupancy
Ba1 Ba 0.0000 0.0000 0.0000 1
Er1 Er 0.1766 0.5000 0.3096 1
C1 C 0.1619 0.5000 0.7528 1
N1 N 0.0740 0.5000 0.8678 1
N2 N 0.2091 0.3118 0.6922 1
```



Density of states at the Fermi level readings, ordered: 1.602, 0.788, 0.699, 1.015, 0.830, 0.413 states/eV per atom